VASP calculation (GGA-PBE) on an optimized crystal structure of TaPdPb2.

Unit cell a=4.3887 b=4.3887 c=19.4719 alpha=90.00 beta=90.00 gamma=90.00
Last column: nearest neighbours and their distance in Å.
Space group I-42d (No. 122)
Asymmetric unit:
Ta  0.0000  0.0000  0.0000 x4  4 Pb 2.89, 4 Pd 3.10
Pd  0.0000  0.0000  0.5000 x4  4 Pb 2.88, 4 Ta 3.10
Pb  0.2490  0.2500  0.6250 x8  2 Pd 2.88, 2 Ta 2.89, 4 Pb 3.10-3.11

Output
The calculated density is 12.43 g/cm3. The energy of formation comes out at 0.5945 eV/atom. For the density of states at the Fermi level, the calculation gives 13.34 states/eV/cell.



VASP calculation (GGA-PBE) on an optimized crystal structure of Na4Ce3SbS8.

Unit cell a=8.2482 b=8.2482 c=19.9297 alpha=90.00 beta=90.00 gamma=120.00
Last column: nearest neighbours and their distance in Å.
Space group R-3m (No. 166, hexagonal axes)
Asymmetric unit:
Na  0.0000  0.0000  0.0000 x3  6 S 3.01
Na  0.0000  0.5000  0.0000 x9  6 S 2.96-2.97
Ce  0.0000  0.5000  0.5000 x9  6 S 2.84-2.85
Sb  0.0000  0.0000  0.5000 x3  6 S 2.80
S  0.0000  0.0000  0.2443 x6  3 Ce 2.84, 3 Na 2.97
S  0.0054  0.5027  0.2436 x18  1 Sb 2.80, 2 Ce 2.85, 3 Na 2.96-3.01

Output
The raw formation energy is -1460 meV per atom. The calculated density is 3.78 g/cm3. For the density of states at the Fermi level, the calculation gives 55.38 states/eV/cell.



VASP calculation (GGA-PBE) on an optimized crystal structure of CuAg3Te4.

Unit cell a=8.6906 b=7.0567 c=7.7547 alpha=90.00 beta=90.00 gamma=90.00
Last column: nearest neighbours and their distance in Å.
Space group Pmn2_1 (No. 31)
Asymmetric unit:
Cu  0.0000  0.1607  0.0000 x2  4 Te 2.52-2.55
Ag  0.0000  0.8282  0.5046 x2  4 Te 2.74-2.77
Ag  0.2415  0.3337  0.5020 x4  4 Te 2.75-2.78
Te  0.0000  0.1662  0.3254 x2  1 Cu 2.52, 3 Ag 2.76-2.77
Te  0.0000  0.8347  0.8582 x2  1 Cu 2.55, 3 Ag 2.74-2.78
Te  0.2334  0.3112  0.8562 x4  1 Cu 2.55, 3 Ag 2.75-2.77

Output
The raw formation energy is 56 meV per atom. The calculated density is 6.27 g/cm3. For the density of states at the Fermi level, the calculation gives 12.89 states/eV/cell.



VASP calculation (GGA-PBE) on an optimized crystal structure of AcDy2Tl2Cd2.

Unit cell a=5.0882 b=5.0882 c=27.4494 alpha=90.00 beta=90.00 gamma=120.00
Last column: nearest neighbours and their distance in Å.
Space group R-3m (No. 166, hexagonal axes)
Asymmetric unit:
Ac  0.0000  0.0000  0.0000 x3  6 Tl 3.53, 2 Dy 3.74
Dy  0.0000  0.0000  0.1363 x6  3 Cd 3.06, 3 Dy 3.38
Tl  0.0000  0.0000  0.2623 x6  3 Cd 3.08, 3 Dy 3.44
Cd  0.0000  0.0000  0.4385 x6  3 Dy 3.06, 3 Tl 3.08, 1 Cd 3.38

Output
The calculated density is 9.60 g/cm3. The energy of formation comes out at -0.2073 eV/atom. For the density of states at the Fermi level, the calculation gives 14.21 states/eV/cell.



VASP calculation (GGA-PBE) on an optimized crystal structure of NaRh3Pb.

Unit cell a=4.5793 b=4.5793 c=4.5793 alpha=90.00 beta=90.00 gamma=90.00
Last column: nearest neighbours and their distance in Å.
Space group Pm-3m (No. 221)
Asymmetric unit:
Na  0.0000  0.0000  0.0000 x1  6 Rh 2.29
Rh  0.0000  0.0000  0.5000 x3  2 Na 2.29
Pb  0.5000  0.5000  0.5000 x1  12 Rh 3.24

Output
The calculated density is 9.32 g/cm3. The energy of formation comes out at 1.2721 eV/atom. For the density of states at the Fermi level, the calculation gives 4.77 states/eV/cell.